# K2UMnTe4

A relaxed structure of K2UMnTe4 (PBE, Alexandria).

Values from the calculation:
Calculated volume, A^3/atom: 34.50
Symmetry: P2/m
Total DFT energy (no corrections), eV per atom: -5.10
Raw formation energy, meV per atom: -702.5
DOS at the Fermi energy, states/eV per atom: 0.576

Cell: 4.406 7.658 8.583 Å, 107.60 90.00 90.00°
Each line ends with the local moment (μB).
Element x y z (fractional)
K  0.500  0.000  0.500  0.00
K  0.000  0.500  0.500  0.01
U  0.500  0.500  0.000  2.38
Mn  0.000  0.000  0.000  4.22
Te  0.500  0.219  0.190  -0.02
Te  0.500  0.781  0.810  -0.02
Te  0.000  0.259  0.792  -0.04
Te  0.000  0.741  0.208  -0.04